Entry 1:
First-principles (PBE) data for crystalline Y2Er3Cd2 at its relaxed geometry, as listed in Alexandria via LeMat-Bulk.

```
7
Lattice="2.538 -11.310 0.000 2.538 11.310 0.000 0.000 0.000 3.445" Properties=species:S:1:pos:R:3 pbc="T T T"
Y 2.538 6.557 0.000
Y 2.538 -6.557 0.000
Er 2.538 3.305 1.723
Er 2.538 0.000 1.723
Er 2.538 -3.305 1.723
Cd 2.538 9.764 0.000
Cd 2.538 -9.764 0.000
```

Computed properties:
- E above lowest polymorph: 125 meV per atom
- Crystal system: orthorhombic
- Space group: Cmmm (65)
- Formation energy from the elements: -0.25 eV/f.u.
- V: 28.26 A^3/atom
- Magnetization: 0.00 μB per cell
- VASP energy: -0.1507 hartree per atom



Entry 2:
First-principles (PBE) data for crystalline Sr3HgB at its relaxed geometry, as listed in Alexandria via LeMat-Bulk.

```
5
Lattice="5.664 0.000 0.000 0.000 5.664 0.000 0.000 0.000 5.664" Properties=species:S:1:pos:R:3 pbc="T T T"
Sr 0.000 0.000 2.832
Sr 0.000 2.832 0.000
Sr 2.832 0.000 0.000
Hg 2.832 2.832 2.832
B 0.000 0.000 0.000
```

Computed properties:
- E above lowest polymorph: 0 meV per atom
- Crystal system: cubic
- Space group: Pm-3m (221)
- Formation energy from the elements: 0.91 eV/f.u.
- V: 36.33 A^3/atom
- Magnetization: 1.81 μB per cell
- VASP energy: -0.0817 hartree per atom



Entry 3:
First-principles (PBE) data for crystalline Sm2DyTa2Rh5 at its relaxed geometry, as listed in Alexandria via LeMat-Bulk.

```
20
Lattice="10.314 0.000 0.000 0.000 10.314 0.000 0.000 0.000 3.780" Properties=species:S:1:pos:R:3 pbc="T T T"
Sm 1.830 3.327 0.000
Sm 3.327 8.484 0.000
Sm 6.987 1.830 0.000
Sm 8.484 6.987 0.000
Dy 0.000 0.000 0.000
Dy 5.157 5.157 0.000
Ta 1.240 6.397 0.000
Ta 3.917 1.240 0.000
Ta 6.397 9.074 0.000
Ta 9.074 3.917 0.000
Rh 0.000 5.157 1.890
Rh 0.662 8.084 1.890
Rh 2.230 0.662 1.890
Rh 2.927 5.819 1.890
Rh 4.495 2.927 1.890
Rh 5.157 0.000 1.890
Rh 5.819 7.387 1.890
Rh 7.387 4.495 1.890
Rh 8.084 9.652 1.890
Rh 9.652 2.230 1.890
```

Computed properties:
- Crystal system: tetragonal
- Space group: P4/mbm (127)
- Formation energy from the elements: -4.88 eV/f.u.
- V: 20.11 A^3/atom
- Magnetization: 0.00 μB per cell
- VASP energy: -0.2917 hartree per atom



Entry 4:
First-principles (PBE) data for crystalline TbMgGaPb at its relaxed geometry, as listed in Alexandria via LeMat-Bulk.

```
4
Lattice="0.000 3.670 3.670 3.670 0.000 3.670 3.670 3.670 0.000" Properties=species:S:1:pos:R:3 pbc="T T T"
Tb 0.000 0.000 0.000
Mg 3.670 3.670 3.670
Ga 1.835 1.835 1.835
Pb 5.505 5.505 5.505
```

Computed properties:
- Crystal system: cubic
- Space group: F-43m (216)
- Formation energy from the elements: -0.94 eV/f.u.
- V: 24.72 A^3/atom
- Magnetization: 0.00 μB per cell
- VASP energy: -0.1277 hartree per atom



Entry 5:
First-principles (PBE) data for crystalline Rb2SiPbSe4 at its relaxed geometry, as listed in Alexandria via LeMat-Bulk.

```
16
Lattice="6.261 -6.147 0.000 6.261 6.147 0.000 -6.112 0.000 6.854" Properties=species:S:1:pos:R:3 pbc="T T T"
Rb 0.000 0.000 0.000
Rb -3.056 0.000 3.427
Rb 3.131 3.073 0.000
Rb 0.075 -3.073 3.427
Si 0.075 3.073 3.427
Si 3.131 -3.073 0.000
Pb 6.261 0.000 0.000
Pb 3.205 0.000 3.427
Se 2.424 3.002 3.215
Se 0.133 0.647 3.722
Se 3.189 -0.647 0.295
Se 7.043 3.002 0.212
Se -0.632 -3.002 6.642
Se 3.221 0.647 6.559
Se 6.277 -0.647 3.132
Se 3.987 -3.002 3.639
```

Computed properties:
- Crystal system: monoclinic
- Space group: C2/c (15)
- Uncorrected formation energy: -545 meV/atom
- V: 32.97 A^3/atom
- Magnetization: 0.00 μB per cell
- VASP energy: -0.1349 hartree per atom



Entry 6:
First-principles (PBE) data for crystalline NaSbTe2S at its relaxed geometry, as listed in Alexandria via LeMat-Bulk.

```
5
Lattice="5.360 0.000 0.000 0.000 5.360 0.000 0.000 0.000 5.566" Properties=species:S:1:pos:R:3 pbc="T T T"
Na 0.000 0.000 0.000
Sb 0.000 0.000 2.783
Te 0.000 2.680 0.000
Te 2.680 0.000 0.000
S 2.680 2.680 2.783
```

Computed properties:
- E above lowest polymorph: 824 meV per atom
- Crystal system: tetragonal
- Space group: P4/mmm (123)
- Uncorrected formation energy: 955 meV/atom
- V: 31.98 A^3/atom
- Magnetization: 1.30 μB per cell
- VASP energy: -0.0814 hartree per atom